LiSbN2O: relaxed, PBE.

It has space group P4/mmm (No. 123), with a = 3.898 Å, b = 3.898 Å, c = 3.660 Å, α = 90.00°, β = 90.00° and γ = 90.00°. The asymmetric unit holds Li at (0.000, 0.000, 0.000), Sb at (0.500, 0.500, 0.500), N at (0.000, 0.500, 0.000) and O at (0.000, 0.000, 0.500).

For the total magnetization, the calculation gives 4.0 μB/f.u. As for the energy: -22.4 eV per cell. Its formation energy without anion corrections is 1.0506 eV/atom. For the mass density, the calculation gives 5.2 Mg/m³. The calculated volume is 55.6 Å³ per cell.



LiSbN2O: relaxed, PBE.

It has space group P4/mmm (No. 123), with a = 4.073 Å, b = 4.073 Å, c = 4.024 Å, α = 90.00°, β = 90.00° and γ = 90.00°. The asymmetric unit holds Li at (0.000, 0.000, 0.000), Sb at (0.500, 0.500, 0.500), N at (0.000, 0.500, 0.500) and O at (0.500, 0.500, 0.000).

For the total magnetization, the calculation gives 1.9 μB/f.u. As for the energy: -25.5 eV per cell. Its formation energy without anion corrections is 0.4211 eV/atom. For the mass density, the calculation gives 4.3 Mg/m³. The calculated volume is 66.8 Å³ per cell.



LiScNO2: relaxed, PBE.

It has space group P4/mmm (No. 123), with a = 3.630 Å, b = 3.630 Å, c = 3.458 Å, α = 90.00°, β = 90.00° and γ = 90.00°. The asymmetric unit holds Li at (0.000, 0.000, 0.000), Sc at (0.500, 0.500, 0.500), N at (0.000, 0.000, 0.500) and O at (0.000, 0.500, 0.000).

For the total magnetization, the calculation gives 0.7 μB/f.u. As for the energy: -29.7 eV per cell. Its formation energy without anion corrections is -0.6491 eV/atom. For the mass density, the calculation gives 3.6 Mg/m³. The calculated volume is 45.6 Å³ per cell.



LiScNO2: relaxed, PBE.

It has space group P4/mmm (No. 123), with a = 4.096 Å, b = 4.096 Å, c = 4.362 Å, α = 90.00°, β = 90.00° and γ = 90.00°. The asymmetric unit holds Li at (0.000, 0.000, 0.000), Sc at (0.500, 0.500, 0.500), N at (0.500, 0.500, 0.000) and O at (0.000, 0.500, 0.500).

For the total magnetization, the calculation gives 3.0 μB/f.u. As for the energy: -31.1 eV per cell. Its formation energy without anion corrections is -0.9224 eV/atom. For the mass density, the calculation gives 2.2 Mg/m³. The calculated volume is 73.2 Å³ per cell.



LiSeN2O: relaxed, PBE.

It has space group P4/mmm (No. 123), with a = 3.922 Å, b = 3.922 Å, c = 4.070 Å, α = 90.00°, β = 90.00° and γ = 90.00°. The asymmetric unit holds Li at (0.000, 0.000, 0.000), Se at (0.500, 0.500, 0.000), N at (0.000, 0.500, 0.500) and O at (0.500, 0.500, 0.500).

For the total magnetization, the calculation gives 2.5 μB/f.u. As for the energy: -18.5 eV per cell. Its formation energy without anion corrections is 1.7045 eV/atom. For the mass density, the calculation gives 3.4 Mg/m³. The calculated volume is 62.6 Å³ per cell.



LiSeN2O: relaxed, PBE.

It has space group P4/mmm (No. 123), with a = 3.737 Å, b = 3.737 Å, c = 3.941 Å, α = 90.00°, β = 90.00° and γ = 90.00°. The asymmetric unit holds Li at (0.000, 0.000, 0.000), Se at (0.500, 0.500, 0.500), N at (0.000, 0.500, 0.500) and O at (0.500, 0.500, 0.000).

For the total magnetization, the calculation gives 0.9 μB/f.u. As for the energy: -22.4 eV per cell. Its formation energy without anion corrections is 0.9158 eV/atom. For the mass density, the calculation gives 3.9 Mg/m³. The calculated volume is 55.0 Å³ per cell.



LiSeN2O: relaxed, PBE.

It has space group P4/mmm (No. 123), with a = 3.343 Å, b = 3.343 Å, c = 5.994 Å, α = 90.00°, β = 90.00° and γ = 90.00°. The asymmetric unit holds Li at (0.000, 0.000, 0.000), Se at (0.000, 0.000, 0.500), N at (0.000, 0.500, 0.000) and O at (0.500, 0.500, 0.500).

For the total magnetization, the calculation gives 2.2 μB/f.u. As for the energy: -17.6 eV per cell. Its formation energy without anion corrections is 1.8804 eV/atom. For the mass density, the calculation gives 3.2 Mg/m³. The calculated volume is 67.0 Å³ per cell.



LiSeN2O: relaxed, PBE.

It has space group P4/mmm (No. 123), with a = 3.916 Å, b = 3.916 Å, c = 3.453 Å, α = 90.00°, β = 90.00° and γ = 90.00°. The asymmetric unit holds Li at (0.000, 0.000, 0.000), Se at (0.500, 0.500, 0.500), N at (0.000, 0.500, 0.000) and O at (0.000, 0.000, 0.500).

For the total magnetization, the calculation gives 3.4 μB/f.u. As for the energy: -18.8 eV per cell. Its formation energy without anion corrections is 1.6435 eV/atom. For the mass density, the calculation gives 4.1 Mg/m³. The calculated volume is 53.0 Å³ per cell.



LiSiN2O: relaxed, PBE.

It has space group P4/mmm (No. 123), with a = 3.697 Å, b = 3.697 Å, c = 3.474 Å, α = 90.00°, β = 90.00° and γ = 90.00°. The asymmetric unit holds Li at (0.000, 0.000, 0.000), Si at (0.500, 0.500, 0.500), N at (0.000, 0.500, 0.000) and O at (0.000, 0.000, 0.500).

For the total magnetization, the calculation gives 3.0 μB/f.u. As for the energy: -21.7 eV per cell. Its formation energy without anion corrections is 1.4575 eV/atom. For the mass density, the calculation gives 2.8 Mg/m³. The calculated volume is 47.5 Å³ per cell.



LiSiN2O: relaxed, PBE.

It has space group P4/mmm (No. 123), with a = 3.606 Å, b = 3.606 Å, c = 3.595 Å, α = 90.00°, β = 90.00° and γ = 90.00°. The asymmetric unit holds Li at (0.000, 0.000, 0.000), Si at (0.500, 0.500, 0.500), N at (0.000, 0.500, 0.500) and O at (0.500, 0.500, 0.000).

For the total magnetization, the calculation gives 2.1 μB/f.u. As for the energy: -30.3 eV per cell. Its formation energy without anion corrections is -0.2734 eV/atom. For the mass density, the calculation gives 2.8 Mg/m³. The calculated volume is 46.7 Å³ per cell.



SrLiN2O: relaxed, PBE.

It has space group P4/mmm (No. 123), with a = 5.001 Å, b = 5.001 Å, c = 4.589 Å, α = 90.00°, β = 90.00° and γ = 90.00°. The asymmetric unit holds Sr at (0.000, 0.000, 0.000), Li at (0.500, 0.500, 0.500), N at (0.000, 0.500, 0.000) and O at (0.000, 0.000, 0.500).

For the total magnetization, the calculation gives 5.0 μB/f.u. As for the energy: -20.5 eV per cell. Its formation energy without anion corrections is 0.9311 eV/atom. For the mass density, the calculation gives 2.0 Mg/m³. The calculated volume is 114.8 Å³ per cell.



SrLiN2O: relaxed, PBE.

It has space group P4/mmm (No. 123), with a = 3.814 Å, b = 3.814 Å, c = 4.249 Å, α = 90.00°, β = 90.00° and γ = 90.00°. The asymmetric unit holds Sr at (0.000, 0.000, 0.000), Li at (0.500, 0.500, 0.500), N at (0.000, 0.500, 0.500) and O at (0.500, 0.500, 0.000).

For the total magnetization, the calculation gives 3.1 μB/f.u. As for the energy: -23.5 eV per cell. Its formation energy without anion corrections is 0.3454 eV/atom. For the mass density, the calculation gives 3.7 Mg/m³. The calculated volume is 61.8 Å³ per cell.